Entry 1:
The following is a DFT calculation (PBE) of a relaxed HoSc2Fe crystal.

Summary:
VASP energy: -6.488 eV per atom
SG: Pnma
Formation enthalpy at 0 K: -62 meV per atom
Total magnetic moment: 0.00 μB per atom

Cell lengths 6.809, 8.569, 5.936 Å; angles 90.00, 90.00, 90.00 degrees
Sites, in units of the cell vectors:
Ho1 0.043 0.250 0.126
Ho2 0.457 0.750 0.626
Ho3 0.543 0.250 0.374
Ho4 0.957 0.750 0.874
Sc1 0.173 0.066 0.664
Sc2 0.173 0.434 0.664
Sc3 0.327 0.566 0.164
Sc4 0.327 0.934 0.164
Sc5 0.673 0.066 0.836
Sc6 0.673 0.434 0.836
Sc7 0.827 0.566 0.336
Sc8 0.827 0.934 0.336
Fe1 0.110 0.750 0.444
Fe2 0.390 0.250 0.944
Fe3 0.610 0.750 0.056
Fe4 0.890 0.250 0.556

Entry 2:
The following is a DFT calculation (PBE) of a relaxed Ho2ScFe crystal.

Summary:
VASP energy: -5.903 eV per atom
SG: P4/mmm
Formation enthalpy at 0 K: 84 meV per atom
Total magnetic moment: 0.54 μB per atom

Cell lengths 3.408, 3.408, 8.150 Å; angles 90.00, 90.00, 90.00 degrees
Sites, in units of the cell vectors:
Ho1 0.000 0.000 0.197
Ho2 0.000 0.000 0.803
Sc1 0.500 0.500 0.500
Fe1 0.500 0.500 0.000

Entry 3:
The following is a DFT calculation (PBE) of a relaxed HoScZnFe crystal.

Summary:
VASP energy: -5.279 eV per atom
SG: F-43m
Formation enthalpy at 0 K: -118 meV per atom
Total magnetic moment: 0.23 μB per atom

Cell lengths 4.730, 4.730, 4.730 Å; angles 60.00, 60.00, 60.00 degrees
Sites, in units of the cell vectors:
Ho1 0.000 0.000 0.000
Sc1 0.500 0.500 0.500
Zn1 0.250 0.250 0.250
Fe1 0.750 0.750 0.750

Entry 4:
The following is a DFT calculation (PBE) of a relaxed Ho4FeSe7 crystal.

Summary:
VASP energy: -5.724 eV per atom
SG: Cm
Energy relative to the elements, uncorrected: -1691.2 kJ/mol of formula units
Total magnetic moment: 0.01 μB per atom

Cell lengths 6.770, 6.770, 11.120 Å; angles 101.09, 101.09, 33.80 degrees
Sites, in units of the cell vectors:
Ho1 0.000 0.000 0.000
Ho2 0.084 0.084 0.486
Ho3 0.378 0.378 0.670
Ho4 0.783 0.783 0.256
Fe1 0.221 0.221 0.907
Se1 0.049 0.049 0.736
Se2 0.123 0.123 0.247
Se3 0.366 0.366 0.091
Se4 0.427 0.427 0.419
Se5 0.657 0.657 0.002
Se6 0.742 0.742 0.518
Se7 0.806 0.806 0.827

Entry 5:
The following is a DFT calculation (PBE) of a relaxed Ho3FeSi3 crystal.

Summary:
VASP energy: -6.243 eV per atom
SG: C2/m
Energy relative to the elements, uncorrected: -504.9 kJ/mol of formula units
Total magnetic moment: 0.00 μB per atom

Cell lengths 5.628, 5.628, 13.442 Å; angles 109.65, 109.65, 43.21 degrees
Sites, in units of the cell vectors:
Ho1 0.024 0.024 0.380
Ho2 0.101 0.101 0.919
Ho3 0.249 0.249 0.230
Ho4 0.751 0.751 0.770
Ho5 0.899 0.899 0.081
Ho6 0.976 0.976 0.620
Fe1 0.253 0.253 0.584
Fe2 0.747 0.747 0.416
Si1 0.355 0.355 0.456
Si2 0.387 0.387 0.925
Si3 0.444 0.444 0.758
Si4 0.556 0.556 0.242
Si5 0.613 0.613 0.075
Si6 0.645 0.645 0.544

Entry 6:
The following is a DFT calculation (PBE) of a relaxed HoFe5Si2 crystal.

Summary:
VASP energy: -7.553 eV per atom
SG: Immm
Energy relative to the elements, uncorrected: -259.6 kJ/mol of formula units
Total magnetic moment: 1.23 μB per atom

Cell lengths 6.055, 6.055, 6.055 Å; angles 147.28, 109.85, 79.58 degrees
Sites, in units of the cell vectors:
Ho1 0.000 0.000 0.000
Fe1 0.165 0.351 0.813
Fe2 0.462 0.649 0.813
Fe3 0.500 0.000 0.500
Fe4 0.538 0.351 0.187
Fe5 0.835 0.649 0.187
Si1 0.245 0.745 0.500
Si2 0.755 0.255 0.500

Entry 7:
The following is a DFT calculation (PBE) of a relaxed HoFe2Si3 crystal.

Summary:
VASP energy: -6.891 eV per atom
SG: Cmcm
Energy relative to the elements, uncorrected: -344.7 kJ/mol of formula units
Total magnetic moment: 0.00 μB per atom

Cell lengths 5.853, 5.853, 5.170 Å; angles 90.00, 90.00, 75.93 degrees
Sites, in units of the cell vectors:
Ho1 0.159 0.841 0.750
Ho2 0.841 0.159 0.250
Fe1 0.298 0.298 0.000
Fe2 0.298 0.298 0.500
Fe3 0.702 0.702 0.000
Fe4 0.702 0.702 0.500
Si1 0.028 0.600 0.250
Si2 0.400 0.972 0.250
Si3 0.441 0.559 0.250
Si4 0.559 0.441 0.750
Si5 0.600 0.028 0.750
Si6 0.972 0.400 0.750

Entry 8:
The following is a DFT calculation (PBE) of a relaxed HoFe12Si6 crystal.

Summary:
VASP energy: -7.533 eV per atom
SG: R-3m
Energy relative to the elements, uncorrected: -430.7 kJ/mol of formula units
Total magnetic moment: 1.07 μB per atom

Cell lengths 6.557, 6.557, 6.557 Å; angles 104.87, 104.87, 104.87 degrees
Sites, in units of the cell vectors:
Ho1 0.000 0.000 0.000
Fe1 0.121 0.500 0.879
Fe2 0.121 0.879 0.500
Fe3 0.164 0.430 0.430
Fe4 0.430 0.164 0.430
Fe5 0.430 0.430 0.164
Fe6 0.500 0.121 0.879
Fe7 0.500 0.879 0.121
Fe8 0.570 0.570 0.836
Fe9 0.570 0.836 0.570
Fe10 0.836 0.570 0.570
Fe11 0.879 0.121 0.500
Fe12 0.879 0.500 0.121
Si1 0.249 0.249 0.711
Si2 0.249 0.711 0.249
Si3 0.289 0.751 0.751
Si4 0.711 0.249 0.249
Si5 0.751 0.289 0.751
Si6 0.751 0.751 0.289

Entry 9:
The following is a DFT calculation (PBE) of a relaxed Ho2FeSi crystal.

Summary:
VASP energy: -5.339 eV per atom
SG: R-3m
Energy relative to the elements, uncorrected: 162.8 kJ/mol of formula units
Total magnetic moment: 0.46 μB per atom

Cell lengths 9.674, 9.674, 9.674 Å; angles 19.82, 19.82, 19.82 degrees
Sites, in units of the cell vectors:
Ho1 0.092 0.092 0.092
Ho2 0.908 0.908 0.908
Fe1 0.000 0.000 0.000
Si1 0.500 0.500 0.500

Entry 10:
The following is a DFT calculation (PBE) of a relaxed Ho2Fe9Si6 crystal.

Summary:
VASP energy: -7.244 eV per atom
SG: P6/mmm
Energy relative to the elements, uncorrected: -510.1 kJ/mol of formula units
Total magnetic moment: 0.79 μB per atom

Cell lengths 5.053, 5.053, 11.238 Å; angles 90.00, 90.00, 120.00 degrees
Sites, in units of the cell vectors:
Ho1 0.000 0.000 0.173
Ho2 0.000 0.000 0.827
Fe1 0.000 0.500 0.000
Fe2 0.000 0.500 0.333
Fe3 0.000 0.500 0.667
Fe4 0.500 0.000 0.000
Fe5 0.500 0.000 0.333
Fe6 0.500 0.000 0.667
Fe7 0.500 0.500 0.000
Fe8 0.500 0.500 0.333
Fe9 0.500 0.500 0.667
Si1 0.333 0.667 0.166
Si2 0.333 0.667 0.500
Si3 0.333 0.667 0.834
Si4 0.667 0.333 0.166
Si5 0.667 0.333 0.500
Si6 0.667 0.333 0.834

Entry 11:
The following is a DFT calculation (PBE) of a relaxed HoFe2Si2 crystal.

Summary:
VASP energy: -7.151 eV per atom
SG: I4/mmm
Energy relative to the elements, uncorrected: -328.6 kJ/mol of formula units
Total magnetic moment: 0.00 μB per atom

Cell lengths 5.506, 5.506, 5.506 Å; angles 138.00, 138.00, 60.91 degrees
Sites, in units of the cell vectors:
Ho1 0.000 0.000 0.000
Fe1 0.250 0.750 0.500
Fe2 0.750 0.250 0.500
Si1 0.367 0.367 0.000
Si2 0.633 0.633 0.000

Entry 12:
The following is a DFT calculation (PBE) of a relaxed Ho2Fe5Si4 crystal.

Summary:
VASP energy: -7.186 eV per atom
SG: Fmmm
Energy relative to the elements, uncorrected: -567.5 kJ/mol of formula units
Total magnetic moment: 0.23 μB per atom

Cell lengths 7.964, 7.021, 5.354 Å; angles 78.85, 59.88, 41.27 degrees
Sites, in units of the cell vectors:
Ho1 0.133 0.133 0.867
Ho2 0.867 0.867 0.133
Fe1 0.000 0.000 0.500
Fe2 0.250 0.250 0.250
Fe3 0.500 0.500 0.000
Fe4 0.500 0.500 0.500
Fe5 0.750 0.750 0.750
Si1 0.218 0.511 0.489
Si2 0.489 0.782 0.218
Si3 0.511 0.218 0.782
Si4 0.782 0.489 0.511